Record 1
# Tb2Sm3Er6Pu

Tb2Sm3Er6Pu after structural relaxation (PBE-GGA, the Alexandria database).

electronic total energy: -5.39 eV per atom
energy of formation: 0.041 eV/atom

Cell: 6.130 6.130 11.643 Å, 95.04 95.04 120.01°
Atoms (fractional coordinates):
Tb1 0.167 0.833 0.000
Tb2 0.833 0.167 0.000
Sm1 0.000 0.000 0.500
Sm2 0.333 0.667 0.500
Sm3 0.667 0.333 0.500
Er1 0.089 0.418 0.754
Er2 0.253 0.253 0.246
Er3 0.418 0.089 0.754
Er4 0.582 0.911 0.246
Er5 0.747 0.747 0.754
Er6 0.911 0.582 0.246
Pu1 0.500 0.500 0.000


Record 2
# Hf2PaAg

Hf2PaAg after structural relaxation (PBE-GGA, the Alexandria database).

ΔE to the lowest computed polymorph: 0 meV/atom
electronic total energy: -8.02 eV per atom
energy of formation: 0.039 eV/atom

Cell: 3.166 3.166 8.790 Å, 90.00 90.00 90.00°
Atoms (fractional coordinates):
Hf1 0.000 0.000 0.229
Hf2 0.000 0.000 0.771
Pa1 0.500 0.500 0.500
Ag1 0.500 0.500 0.000


Record 3
# CaCd2AsI

CaCd2AsI after structural relaxation (PBE-GGA, the Alexandria database).

electronic total energy: -1.64 eV per atom

Cell: 6.341 6.341 5.850 Å, 90.00 90.00 90.00°
Atoms (fractional coordinates):
Ca1 0.000 0.000 0.000
Cd1 0.000 0.500 0.000
Cd2 0.500 0.000 0.000
As1 0.500 0.500 0.500
I1 0.000 0.000 0.500


Q: electronic total energy of number 1 (Tb2Sm3Er6Pu)?
A: -5.39 eV per atom